Arrangement i

The following is a PBE-GGA calculation of CaHf3Co after structural relaxation, from Alexandria.

POSCAR file:
```
CaHf3Co
1.0
4.882 0.000 0.000
0.000 4.882 0.000
0.000 0.000 4.882
Ca Hf Co
1 3 1
Cartesian
0.000 0.000 0.000
0.000 0.000 2.441
0.000 2.441 0.000
2.441 0.000 0.000
2.441 2.441 2.441
```

- Crystal system: cubic
- DOS(E_F): 8.81 states/eV/cell
- Space-group type: No. 221
- Calculated volume: 23.27 A^3/atom

=====

Arrangement ii

The following is a PBE-GGA calculation of CaHf3Co after structural relaxation, from Alexandria.

POSCAR file:
```
CaHf3Co
1.0
4.918 0.000 0.000
0.000 4.918 0.000
0.000 0.000 4.918
Ca Hf Co
1 3 1
Cartesian
0.000 0.000 0.000
0.000 2.459 2.459
2.459 0.000 2.459
2.459 2.459 0.000
2.459 2.459 2.459
```

- Crystal system: cubic
- DOS(E_F): 6.42 states/eV/cell
- Space-group type: No. 221
- Calculated volume: 23.79 A^3/atom

=====

Least stable: arrangement i

=====

Arrangement i

The following is a PBE-GGA calculation of Y3HgO after structural relaxation, from Alexandria.

POSCAR file:
```
Y3HgO
1.0
4.780 0.000 0.000
0.000 4.780 0.000
0.000 0.000 4.780
Y Hg O
3 1 1
Cartesian
0.000 0.000 2.390
0.000 2.390 0.000
2.390 0.000 0.000
2.390 2.390 2.390
0.000 0.000 0.000
```

- Crystal system: cubic
- DOS(E_F): 2.10 states/eV/cell
- Space-group type: No. 221
- Calculated volume: 21.84 A^3/atom

=====

Arrangement ii

The following is a PBE-GGA calculation of Y3HgO after structural relaxation, from Alexandria.

POSCAR file:
```
Y3HgO
1.0
7.078 -5.432 0.000
7.078 5.432 0.000
-2.254 0.000 6.797
Y Hg O
12 4 4
Cartesian
0.786 1.395 4.302
3.483 3.045 5.891
1.913 -1.395 0.904
4.045 0.510 3.282
7.292 3.045 4.304
2.918 -0.510 6.680
8.984 0.510 0.117
4.610 -3.045 2.492
7.857 -0.510 3.515
9.989 1.395 5.893
8.419 -3.045 0.906
11.117 -1.395 2.495
5.388 5.401 5.097
6.515 1.782 1.699
5.388 -1.782 5.097
6.515 -5.401 1.699
2.822 1.068 5.129
3.949 -1.068 1.730
7.953 1.068 5.066
9.080 -1.068 1.668
```

- Crystal system: monoclinic
- DOS(E_F): 16.91 states/eV/cell
- Space-group type: No. 15
- Calculated volume: 26.13 A^3/atom

=====

Least stable: arrangement ii